Record 1
The following is a PBE calculation of a relaxed Pm2H10Ru3 crystal, from Alexandria via LeMat-Bulk.

abc: 8.153 8.153 7.407
angles: 110.87 110.87 37.68
Fractional positions:
Pm 0.105 0.105 0.230
Pm 0.197 0.197 0.779
Pm 0.803 0.803 0.221
Pm 0.895 0.895 0.770
H 0.000 0.500 0.500
H 0.028 0.028 0.667
H 0.093 0.570 0.994
H 0.120 0.655 0.495
H 0.273 0.273 0.251
H 0.282 0.718 0.000
H 0.345 0.880 0.505
H 0.366 0.366 0.763
H 0.430 0.907 0.006
H 0.461 0.461 0.293
H 0.500 0.000 0.500
H 0.539 0.539 0.707
H 0.570 0.093 0.994
H 0.634 0.634 0.237
H 0.655 0.120 0.495
H 0.718 0.282 0.000
H 0.727 0.727 0.749
H 0.880 0.345 0.505
H 0.907 0.430 0.006
H 0.972 0.972 0.333
Ru 0.264 0.736 0.500
Ru 0.319 0.319 0.497
Ru 0.410 0.410 0.018
Ru 0.590 0.590 0.982
Ru 0.681 0.681 0.503
Ru 0.736 0.264 0.500

Computed properties:
As for the crystal system: monoclinic. The space group is C2/m. Its total energy is -75.3 eV/f.u.

***

Record 2
The following is a PBE calculation of a relaxed MgGaAu5 crystal, from Alexandria via LeMat-Bulk.

abc: 4.241 4.241 7.248
angles: 90.00 90.00 90.00
Fractional positions:
Mg 0.000 0.000 0.000
Ga 0.000 0.000 0.500
Au 0.000 0.500 0.279
Au 0.000 0.500 0.721
Au 0.500 0.000 0.279
Au 0.500 0.000 0.721
Au 0.500 0.500 0.000

Computed properties:
As for the crystal system: tetragonal. The space group is P4/mmm. Its energy relative to the elements is -171 kJ/mol of formula units.

***

Record 3
The following is a PBE calculation of a relaxed Na2LiTmCl6 crystal, from Alexandria via LeMat-Bulk.

abc: 7.271 7.271 7.271
angles: 56.50 56.50 56.50
Fractional positions:
Na 0.000 0.000 0.000
Na 0.494 0.494 0.494
Li 0.210 0.210 0.210
Tm 0.697 0.697 0.697
Cl 0.065 0.434 0.822
Cl 0.325 0.926 0.572
Cl 0.434 0.822 0.065
Cl 0.572 0.325 0.926
Cl 0.822 0.065 0.434
Cl 0.926 0.572 0.325

Computed properties:
As for the crystal system: trigonal. The space group is R3. Its total energy is -40.1 eV/f.u.

***

| no. | magnetization (μB/f.u.) | ρ (g cm⁻³) | calculated volume (Å³ per atom) |
| --- | --- | --- | --- |
| 1 | 0.00 | 7.2 | 9.294 |
| 2 | 0.00 | 13.7 | 18.625 |
| 3 | 0.00 | 2.9 | 24.977 |